A relaxed SrInI3 crystal, computed with PBE-GGA.

a b c (Å): 6.3978 6.3978 6.3978
angles (deg): 90.00 90.00 90.00
Atoms (fractional coordinates):
Sr1 0.0000 0.0000 0.0000
In1 0.5000 0.5000 0.5000
I1 0.0000 0.0000 0.5000
I2 0.0000 0.5000 0.0000
I3 0.5000 0.0000 0.0000

Values from the calculation:
As for the space group: Pm-3m (221). The formation energy (no corrections) comes out at -1.043 eV/atom.

***

A relaxed LiLa2TlC crystal, computed with PBE-GGA.

a b c (Å): 5.2458 5.2458 4.4827
angles (deg): 90.00 90.00 90.00
Atoms (fractional coordinates):
Li1 0.0000 0.0000 0.0000
La1 0.0000 0.5000 0.5000
La2 0.5000 0.0000 0.5000
Tl1 0.5000 0.5000 0.0000
C1 0.0000 0.0000 0.5000

Values from the calculation:
The calculation puts the total energy at -4.7699 eV per atom. As for the space group: P4/mmm (123).

***

A relaxed Er3CdHg4 crystal, computed with PBE-GGA.

a b c (Å): 9.0613 9.0613 9.0613
angles (deg): 32.80 32.80 32.80
Atoms (fractional coordinates):
Er1 0.0000 0.0000 0.0000
Er2 0.2435 0.2435 0.2435
Er3 0.7565 0.7565 0.7565
Cd1 0.5000 0.5000 0.5000
Hg1 0.1223 0.1223 0.1223
Hg2 0.3695 0.3695 0.3695
Hg3 0.6305 0.6305 0.6305
Hg4 0.8777 0.8777 0.8777

Values from the calculation:
As for the space group: R-3m (166). The energy above the lowest structure with this stoichiometry is 0.000 eV/f.u.

***

A relaxed SrZn2In crystal, computed with PBE-GGA.

a b c (Å): 4.7153 4.7153 5.9980
angles (deg): 111.65 111.65 57.95
Atoms (fractional coordinates):
Sr1 0.0000 0.0000 0.0000
Zn1 0.2159 0.2159 0.6393
Zn2 0.7841 0.7841 0.3607
In1 0.5000 0.5000 0.5000

Values from the calculation:
The calculation puts the total energy at -1.9401 eV per atom. As for the space group: C2/m (12).